Below is a geometry-optimized SrCaSe2 structure, with properties calculated at the GGA-PBE level.

Properties
**SG**: No. 10
**Energy above the lowest structure with this stoichiometry**: 0.301 eV per atom

a b c (Å): 3.794 3.828 7.855
angles (deg): 71.88 90.00 90.00
Atoms (fractional coordinates):
Ca  0.500  0.750  0.750
Se  0.000  0.557  0.504
Se  0.000  0.943  0.996
Sr  0.500  0.250  0.250

---

Below is a geometry-optimized SrCaSe2 structure, with properties calculated at the GGA-PBE level.

Properties
**SG**: No. 122
**Energy above the lowest structure with this stoichiometry**: 0.259 eV per atom

a b c (Å): 6.757 6.757 8.310
angles (deg): 66.01 66.01 90.00
Atoms (fractional coordinates):
Se  0.145  0.625  0.250
Ca  0.250  0.750  0.500
Se  0.605  0.125  0.250
Se  0.875  0.855  0.750
Sr  0.750  0.250  0.500
Sr  0.000  0.000  0.000
Se  0.375  0.395  0.750
Ca  0.500  0.500  0.000

---

Below is a geometry-optimized SrCaSe2 structure, with properties calculated at the GGA-PBE level.

Properties
**SG**: No. 216
**Energy above the lowest structure with this stoichiometry**: 1.197 eV per atom

a b c (Å): 5.303 5.303 5.303
angles (deg): 60.00 60.00 60.00
Atoms (fractional coordinates):
Se  0.250  0.250  0.250
Sr  0.750  0.750  0.750
Se  0.000  0.000  0.000
Ca  0.500  0.500  0.500

---

We obtain raw total energy values of -4.4040, -4.4459, -3.5080 eV/atom for the records listed above, in that order.